# 1
The following is a GGA-PBE calculation of Al2AgAu after structural relaxation, from Alexandria via LeMat-Bulk.

Summary:
Symmetry: Cm
Energy of formation: -0.7 eV/f.u.
Total energy: -3.5783 eV/atom
D(E_F): 0.38 states/eV per atom
Magnetization: 0.000 μB per cell

Cell: 4.8650 4.8650 4.5223 Å, 101.69 101.69 40.72°
With the nearest neighbours (Å) after each atom.
Element x y z (fractional)
Al: 0.0000 0.0000 0.0000  3 Au 2.65-2.73, 4 Ag 2.80-2.85, 3 Al 2.92-2.96
Al: 0.2478 0.2478 0.6856  3 Ag 2.63-2.78, 4 Au 2.78-2.87, 1 Al 2.92
Ag: 0.5034 0.5034 0.5078  7 Al 2.63-2.85, 1 Au 2.90
Au: 0.7388 0.7388 0.1689  7 Al 2.65-2.87, 1 Ag 2.90

# 2
The following is a GGA-PBE calculation of CdSb2Pt after structural relaxation, from Alexandria via LeMat-Bulk.

Summary:
Symmetry: I-4m2
Total energy: -3.7006 eV/atom
D(E_F): 0.39 states/eV per atom
Magnetization: 0.000 μB per cell

Cell: 5.5080 5.5080 5.5080 Å, 132.43 132.43 69.55°
With the nearest neighbours (Å) after each atom.
Element x y z (fractional)
Cd: 0.0000 0.0000 0.0000  8 Sb 3.14-3.17, 4 Pt 3.17
Sb: 0.5000 0.5000 0.0000  4 Cd 3.14, 4 Sb 3.17, 4 Pt 3.17
Sb: 0.7500 0.2500 0.5000  4 Pt 3.14, 4 Cd 3.17, 4 Sb 3.17
Pt: 0.2500 0.7500 0.5000  8 Sb 3.14-3.17, 4 Cd 3.17

# 3
The following is a GGA-PBE calculation of LaAlSbTe2 after structural relaxation, from Alexandria via LeMat-Bulk.

Summary:
Symmetry: P4/mmm
Energy relative to the lowest polymorph listed for this composition: 0 meV/atom
Total energy: -4.2176 eV/atom
D(E_F): 0.36 states/eV per atom
Magnetization: 0.000 μB per cell

Cell: 5.4215 5.4215 5.2330 Å, 90.00 90.00 90.00°
With the nearest neighbours (Å) after each atom.
Element x y z (fractional)
La: 0.0000 0.0000 0.0000  8 Te 3.77, 4 Sb 3.83
Al: 0.5000 0.5000 0.5000  2 Sb 2.62, 4 Te 2.71
Sb: 0.5000 0.5000 0.0000  2 Al 2.62
Te: 0.0000 0.5000 0.5000  2 Al 2.71
Te: 0.5000 0.0000 0.5000  2 Al 2.71

Question: What is the D(E_F) in the second record?
Answer: 0.39 states/eV per atom

Question: Look up the D(E_F) of the second one.
Answer: 0.39 states/eV per atom